No. 1
Computed, not measured: a PBEsol-optimized structure of SrZnNi at the SCAN level of DFT.

Calculated values
For the formation energy, the calculation gives -0.1261 eV/atom.

Structure (CIF):
```
data_SrZnNi
_chemical_formula_sum 'Sr1 Zn1 Ni1'
_cell_length_a 4.1581
_cell_length_b 4.1581
_cell_length_c 4.3089
_cell_angle_alpha 90.00
_cell_angle_beta 90.00
_cell_angle_gamma 120.00
_space_group_name_H-M_alt 'P -6 m 2'
_space_group_IT_number 187
_space_group_name_Hall 'P -6 2'
loop_
_atom_site_label
_atom_site_type_symbol
_atom_site_fract_x
_atom_site_fract_y
_atom_site_fract_z
Sr1 Sr 0.0000 0.0000 0.0000
Zn1 Zn 0.3333 0.6667 0.5000
Ni1 Ni 0.6667 0.3333 0.5000
```


No. 2
Computed, not measured: a PBEsol-optimized structure of SrZnNi at the SCAN level of DFT.

Calculated values
For the formation energy, the calculation gives 0.1708 eV/atom.

Structure (CIF):
```
data_SrZnNi
_chemical_formula_sum 'Sr4 Zn4 Ni4'
_cell_length_a 6.440
_cell_length_b 6.440
_cell_length_c 6.440
_cell_angle_alpha 90.00
_cell_angle_beta 90.00
_cell_angle_gamma 90.00
_space_group_name_H-M_alt 'F -4 3 m'
_space_group_IT_number 216
_space_group_name_Hall 'F -4 2 3'
loop_
_atom_site_label
_atom_site_type_symbol
_atom_site_fract_x
_atom_site_fract_y
_atom_site_fract_z
Sr1 Sr 0.000 0.000 0.000
Zn1 Zn 0.000 0.000 0.500
Ni1 Ni 0.250 0.250 0.750
```


No. 3
Computed, not measured: a PBEsol-optimized structure of Sr2ZnNi at the SCAN level of DFT.

Calculated values
As for the polymorph energy (0 for the lowest one): 5.4 kJ per mole of atoms. For the formation energy, the calculation gives -0.1100 eV/atom.

Structure (CIF):
```
data_Sr2ZnNi
_chemical_formula_sum 'Sr4 Zn2 Ni2'
_cell_length_a 4.310
_cell_length_b 4.434
_cell_length_c 11.391
_cell_angle_alpha 90.00
_cell_angle_beta 90.00
_cell_angle_gamma 90.00
_space_group_name_H-M_alt 'A m m 2'
_space_group_IT_number 38
loop_
_space_group_symop_operation_xyz
'x,y,z'
'-x,-y,z'
'-x,y,z'
'x,-y,z'
'x,y+1/2,z+1/2'
'-x,-y+1/2,z+1/2'
'-x,y+1/2,z+1/2'
'x,-y+1/2,z+1/2'
loop_
_atom_site_label
_atom_site_type_symbol
_atom_site_fract_x
_atom_site_fract_y
_atom_site_fract_z
Sr1 Sr 0.000 0.000 0.000
Sr2 Sr 0.500 0.000 0.281
Zn1 Zn 0.000 0.000 0.693
Ni1 Ni 0.500 0.000 0.595
```


No. 4
Computed, not measured: a PBEsol-optimized structure of Sr2ZnNi at the SCAN level of DFT.

Calculated values
As for the polymorph energy (0 for the lowest one): 0.0 kJ per mole of atoms. For the formation energy, the calculation gives -0.1660 eV/atom.

Structure (CIF):
```
data_Sr2ZnNi
_chemical_formula_sum 'Sr6 Zn3 Ni3'
_cell_length_a 4.2242
_cell_length_b 4.2242
_cell_length_c 23.2594
_cell_angle_alpha 90.00
_cell_angle_beta 90.00
_cell_angle_gamma 120.00
_space_group_name_H-M_alt 'R 3 m'
_space_group_IT_number 160
_space_group_name_Hall 'R 3 -2"'
loop_
_atom_site_label
_atom_site_type_symbol
_atom_site_fract_x
_atom_site_fract_y
_atom_site_fract_z
Sr1 Sr 0.0000 0.0000 0.0000
Sr2 Sr 0.0000 0.0000 0.1720
Zn1 Zn 0.0000 0.0000 0.4193
Ni1 Ni 0.0000 0.0000 0.7529
```


No. 5
Computed, not measured: a PBEsol-optimized structure of Sr2ZnNi at the SCAN level of DFT.

Calculated values
As for the polymorph energy (0 for the lowest one): 24.5 kJ per mole of atoms. For the formation energy, the calculation gives 0.0875 eV/atom.

Structure (CIF):
```
data_Sr2ZnNi
_chemical_formula_sum 'Sr2 Zn1 Ni1'
_cell_length_a 5.183
_cell_length_b 5.183
_cell_length_c 3.721
_cell_angle_alpha 90.00
_cell_angle_beta 90.00
_cell_angle_gamma 90.00
_space_group_name_H-M_alt 'P 4/m m m'
_space_group_IT_number 123
_space_group_name_Hall '-P 4 2'
loop_
_atom_site_label
_atom_site_type_symbol
_atom_site_fract_x
_atom_site_fract_y
_atom_site_fract_z
Sr1 Sr 0.000 0.500 0.000
Zn1 Zn 0.000 0.000 0.500
Ni1 Ni 0.500 0.500 0.500
```


No. 6
Computed, not measured: a PBEsol-optimized structure of SrZrNi2 at the SCAN level of DFT.

Calculated values
For the formation energy, the calculation gives -0.1698 eV/atom.

Structure (CIF):
```
data_SrZrNi2
_chemical_formula_sum 'Sr1 Zr1 Ni2'
_cell_length_a 3.301
_cell_length_b 3.301
_cell_length_c 7.020
_cell_angle_alpha 90.00
_cell_angle_beta 90.00
_cell_angle_gamma 90.00
_space_group_name_H-M_alt 'P 4/m m m'
_space_group_IT_number 123
_space_group_name_Hall '-P 4 2'
loop_
_atom_site_label
_atom_site_type_symbol
_atom_site_fract_x
_atom_site_fract_y
_atom_site_fract_z
Sr1 Sr 0.000 0.000 0.000
Zr1 Zr 0.000 0.000 0.500
Ni1 Ni 0.500 0.500 0.318
```


No. 7
Computed, not measured: a PBEsol-optimized structure of TaNi3 at the SCAN level of DFT.

Calculated values
For the formation energy, the calculation gives -0.3417 eV/atom.

Structure (CIF):
```
data_TaNi3
_chemical_formula_sum 'Ta2 Ni6'
_cell_length_a 4.191
_cell_length_b 5.044
_cell_length_c 4.491
_cell_angle_alpha 90.00
_cell_angle_beta 90.00
_cell_angle_gamma 90.00
_space_group_name_H-M_alt 'P m m n'
_space_group_IT_number 59
loop_
_space_group_symop_operation_xyz
'x,y,z'
'-x,-y,-z'
'-x+1/2,-y+1/2,z'
'x+1/2,y+1/2,-z'
'x+1/2,-y,-z'
'-x+1/2,y,z'
'-x,y+1/2,-z'
'x,-y+1/2,z'
loop_
_atom_site_label
_atom_site_type_symbol
_atom_site_fract_x
_atom_site_fract_y
_atom_site_fract_z
Ta1 Ta 0.250 0.250 0.152
Ni1 Ni 0.250 0.000 0.659
Ni2 Ni 0.250 0.750 0.181
```


No. 8
Computed, not measured: a PBEsol-optimized structure of TaNi3 at the SCAN level of DFT.

Calculated values
For the formation energy, the calculation gives -0.2540 eV/atom.

Structure (CIF):
```
data_TaNi3
_chemical_formula_sum 'Ta2 Ni6'
_cell_length_a 4.594
_cell_length_b 4.594
_cell_length_c 4.594
_cell_angle_alpha 90.00
_cell_angle_beta 90.00
_cell_angle_gamma 90.00
_space_group_name_H-M_alt 'P m -3 n'
_space_group_IT_number 223
_space_group_name_Hall '-P 4n 2 3'
loop_
_atom_site_label
_atom_site_type_symbol
_atom_site_fract_x
_atom_site_fract_y
_atom_site_fract_z
Ta1 Ta 0.000 0.000 0.000
Ni1 Ni 0.000 0.250 0.500
```


No. 9
Computed, not measured: a PBEsol-optimized structure of TaNi4 at the SCAN level of DFT.

Calculated values
For the formation energy, the calculation gives -0.2167 eV/atom.

Structure (CIF):
```
data_TaNi4
_chemical_formula_sum 'Ta2 Ni8'
_cell_length_a 5.729
_cell_length_b 5.729
_cell_length_c 3.537
_cell_angle_alpha 90.00
_cell_angle_beta 90.00
_cell_angle_gamma 90.00
_space_group_name_H-M_alt 'I 4/m'
_space_group_IT_number 87
_space_group_name_Hall '-I 4'
loop_
_atom_site_label
_atom_site_type_symbol
_atom_site_fract_x
_atom_site_fract_y
_atom_site_fract_z
Ta1 Ta 0.000 0.000 0.000
Ni1 Ni 0.096 0.307 0.500
```


No. 10
Computed, not measured: a PBEsol-optimized structure of TaNi2 at the SCAN level of DFT.

Calculated values
For the formation energy, the calculation gives -0.1433 eV/atom.

Structure (CIF):
```
data_TaNi2
_chemical_formula_sum 'Ta1 Ni2'
_cell_length_a 4.0877
_cell_length_b 4.0877
_cell_length_c 2.6285
_cell_angle_alpha 90.00
_cell_angle_beta 90.00
_cell_angle_gamma 120.00
_space_group_name_H-M_alt 'P -3 m 1'
_space_group_IT_number 164
_space_group_name_Hall '-P 3 2"'
loop_
_atom_site_label
_atom_site_type_symbol
_atom_site_fract_x
_atom_site_fract_y
_atom_site_fract_z
Ta1 Ta 0.0000 0.0000 0.0000
Ni1 Ni 0.3333 0.6667 0.4893
```


No. 11
Computed, not measured: a PBEsol-optimized structure of TaNi at the SCAN level of DFT.

Calculated values
For the formation energy, the calculation gives -0.2757 eV/atom.

Structure (CIF):
```
data_TaNi
_chemical_formula_sum 'Ta39 Ni39'
_cell_length_a 4.8408
_cell_length_b 4.8408
_cell_length_c 52.7702
_cell_angle_alpha 90.00
_cell_angle_beta 90.00
_cell_angle_gamma 120.00
_space_group_name_H-M_alt 'R -3 m'
_space_group_IT_number 166
_space_group_name_Hall '-R 3 2"'
loop_
_atom_site_label
_atom_site_type_symbol
_atom_site_fract_x
_atom_site_fract_y
_atom_site_fract_z
Ta1 Ta 0.0000 0.0000 0.0000
Ta2 Ta 0.0000 0.0000 0.0844
Ta3 Ta 0.0000 0.0000 0.1722
Ta4 Ta 0.0000 0.0000 0.2245
Ta5 Ta 0.0000 0.0000 0.2739
Ta6 Ta 0.0000 0.0000 0.3273
Ta7 Ta 0.0000 0.0000 0.4181
Ni1 Ni 0.0000 0.0000 0.5000
Ni2 Ni 0.9999 0.4999 0.2041
Ni3 Ni 0.0051 0.5026 0.2936
```


No. 12
Computed, not measured: a PBEsol-optimized structure of TaNi3 at the SCAN level of DFT.

Calculated values
For the formation energy, the calculation gives -0.3464 eV/atom.

Structure (CIF):
```
data_TaNi3
_chemical_formula_sum 'Ta4 Ni12'
_cell_length_a 4.484
_cell_length_b 5.056
_cell_length_c 8.534
_cell_angle_alpha 90.00
_cell_angle_beta 100.83
_cell_angle_gamma 90.00
_space_group_name_H-M_alt 'P 1 21/m 1'
_space_group_IT_number 11
loop_
_space_group_symop_operation_xyz
'x,y,z'
'-x,-y,-z'
'-x,y+1/2,-z'
'x,-y+1/2,z'
loop_
_atom_site_label
_atom_site_type_symbol
_atom_site_fract_x
_atom_site_fract_y
_atom_site_fract_z
Ta1 Ta 0.113 0.250 0.378
Ta2 Ta 0.290 0.250 0.873
Ni1 Ni 0.134 0.750 0.376
Ni2 Ni 0.205 0.001 0.123
Ni3 Ni 0.299 0.750 0.873
Ni4 Ni 0.386 0.502 0.627
```


No. 13
Computed, not measured: a PBEsol-optimized structure of Ta5Ni at the SCAN level of DFT.

Calculated values
For the formation energy, the calculation gives -0.0300 eV/atom.

Structure (CIF):
```
data_Ta5Ni
_chemical_formula_sum 'Ta10 Ni2'
_cell_length_a 10.193
_cell_length_b 3.298
_cell_length_c 6.216
_cell_angle_alpha 90.00
_cell_angle_beta 108.09
_cell_angle_gamma 90.00
_space_group_name_H-M_alt 'C 1 2/m 1'
_space_group_IT_number 12
loop_
_space_group_symop_operation_xyz
'x,y,z'
'-x,-y,-z'
'-x,y,-z'
'x,-y,z'
'x+1/2,y+1/2,z'
'-x+1/2,-y+1/2,-z'
'-x+1/2,y+1/2,-z'
'x+1/2,-y+1/2,z'
loop_
_atom_site_label
_atom_site_type_symbol
_atom_site_fract_x
_atom_site_fract_y
_atom_site_fract_z
Ta1 Ta 0.000 0.000 0.000
Ta2 Ta 0.161 0.500 0.335
Ta3 Ta 0.164 0.500 0.826
Ni1 Ni 0.000 0.000 0.500
```


No. 14
Computed, not measured: a PBEsol-optimized structure of Ta4Ni at the SCAN level of DFT.

Calculated values
For the formation energy, the calculation gives 0.7493 eV/atom.

Structure (CIF):
```
data_Ta4Ni
_chemical_formula_sum 'Ta8 Ni2'
_cell_length_a 5.718
_cell_length_b 5.718
_cell_length_c 5.718
_cell_angle_alpha 90.00
_cell_angle_beta 90.00
_cell_angle_gamma 90.00
_space_group_name_H-M_alt 'I m -3 m'
_space_group_IT_number 229
_space_group_name_Hall '-I 4 2 3'
loop_
_atom_site_label
_atom_site_type_symbol
_atom_site_fract_x
_atom_site_fract_y
_atom_site_fract_z
Ta1 Ta 0.250 0.250 0.250
Ni1 Ni 0.000 0.000 0.000
```


No. 15
Computed, not measured: a PBEsol-optimized structure of TaNi3 at the SCAN level of DFT.

Calculated values
For the formation energy, the calculation gives -0.3108 eV/atom.

Structure (CIF):
```
data_TaNi3
_chemical_formula_sum 'Ta4 Ni12'
_cell_length_a 3.583
_cell_length_b 3.583
_cell_length_c 14.854
_cell_angle_alpha 90.00
_cell_angle_beta 90.00
_cell_angle_gamma 90.00
_space_group_name_H-M_alt 'I 4/m m m'
_space_group_IT_number 139
_space_group_name_Hall '-I 4 2'
loop_
_atom_site_label
_atom_site_type_symbol
_atom_site_fract_x
_atom_site_fract_y
_atom_site_fract_z
Ta1 Ta 0.000 0.000 0.128
Ni1 Ni 0.000 0.000 0.382
Ni2 Ni 0.000 0.500 0.000
Ni3 Ni 0.000 0.500 0.250
```


No. 16
Computed, not measured: a PBEsol-optimized structure of Ta3Ni4 at the SCAN level of DFT.

Calculated values
For the formation energy, the calculation gives -0.2746 eV/atom.

Structure (CIF):
```
data_Ta3Ni4
_chemical_formula_sum 'Ta6 Ni8'
_cell_length_a 3.131
_cell_length_b 3.131
_cell_length_c 19.287
_cell_angle_alpha 90.00
_cell_angle_beta 90.00
_cell_angle_gamma 90.00
_space_group_name_H-M_alt 'I 4/m m m'
_space_group_IT_number 139
_space_group_name_Hall '-I 4 2'
loop_
_atom_site_label
_atom_site_type_symbol
_atom_site_fract_x
_atom_site_fract_y
_atom_site_fract_z
Ta1 Ta 0.000 0.000 0.000
Ta2 Ta 0.000 0.000 0.297
Ni1 Ni 0.000 0.000 0.135
Ni2 Ni 0.000 0.000 0.433
```


No. 17
Computed, not measured: a PBEsol-optimized structure of TaNi7 at the SCAN level of DFT.

Calculated values
For the formation energy, the calculation gives -0.0860 eV/atom.

Structure (CIF):
```
data_TaNi7
_chemical_formula_sum 'Ta4 Ni28'
_cell_length_a 7.098
_cell_length_b 7.098
_cell_length_c 7.098
_cell_angle_alpha 90.00
_cell_angle_beta 90.00
_cell_angle_gamma 90.00
_space_group_name_H-M_alt 'F m -3 m'
_space_group_IT_number 225
_space_group_name_Hall '-F 4 2 3'
loop_
_atom_site_label
_atom_site_type_symbol
_atom_site_fract_x
_atom_site_fract_y
_atom_site_fract_z
Ta1 Ta 0.000 0.000 0.000
Ni1 Ni 0.000 0.000 0.500
Ni2 Ni 0.000 0.250 0.250
```


No. 18
Computed, not measured: a PBEsol-optimized structure of TaNi2 at the SCAN level of DFT.

Calculated values
For the formation energy, the calculation gives -0.3332 eV/atom.

Structure (CIF):
```
data_TaNi2
_chemical_formula_sum 'Ta2 Ni4'
_cell_length_a 3.134
_cell_length_b 3.134
_cell_length_c 7.792
_cell_angle_alpha 90.00
_cell_angle_beta 90.00
_cell_angle_gamma 90.00
_space_group_name_H-M_alt 'I 4/m m m'
_space_group_IT_number 139
_space_group_name_Hall '-I 4 2'
loop_
_atom_site_label
_atom_site_type_symbol
_atom_site_fract_x
_atom_site_fract_y
_atom_site_fract_z
Ta1 Ta 0.000 0.000 0.000
Ni1 Ni 0.000 0.000 0.333
```


No. 19
Computed, not measured: a PBEsol-optimized structure of Ta6Ni7 at the SCAN level of DFT.

Calculated values
For the formation energy, the calculation gives -0.2707 eV/atom.

Structure (CIF):
```
data_Ta6Ni7
_chemical_formula_sum 'Ta18 Ni21'
_cell_length_a 4.8069
_cell_length_b 4.8069
_cell_length_c 26.1529
_cell_angle_alpha 90.00
_cell_angle_beta 90.00
_cell_angle_gamma 120.00
_space_group_name_H-M_alt 'R -3 m'
_space_group_IT_number 166
_space_group_name_Hall '-R 3 2"'
loop_
_atom_site_label
_atom_site_type_symbol
_atom_site_fract_x
_atom_site_fract_y
_atom_site_fract_z
Ta1 Ta 0.0000 0.0000 0.0496
Ta2 Ta 0.0000 0.0000 0.1562
Ta3 Ta 0.0000 0.0000 0.3314
Ni1 Ni 0.0000 0.0000 0.5000
Ni2 Ni 0.0005 0.5003 0.0908
```


No. 20
Computed, not measured: a PBEsol-optimized structure of TaNi at the SCAN level of DFT.

Calculated values
For the formation energy, the calculation gives 0.7180 eV/atom.

Structure (CIF):
```
data_TaNi
_chemical_formula_sum 'Ta2 Ni2'
_cell_length_a 4.1805
_cell_length_b 4.1805
_cell_length_c 4.8080
_cell_angle_alpha 90.00
_cell_angle_beta 90.00
_cell_angle_gamma 120.00
_space_group_name_H-M_alt 'P 63/m m c'
_space_group_IT_number 194
_space_group_name_Hall '-P 6c 2c'
loop_
_atom_site_label
_atom_site_type_symbol
_atom_site_fract_x
_atom_site_fract_y
_atom_site_fract_z
Ta1 Ta 0.3333 0.6667 0.2500
Ni1 Ni 0.3333 0.6667 0.7500
```